First-principles (PBE) data for ScCdSb2 after structural relaxation, as listed in the Alexandria database.

abc: 6.1493 6.1493 6.1493
angles: 139.51 139.44 58.65
Element x y z (fractional)
Sc 0.0000 0.0000 0.0000
Cd 0.7494 0.2494 0.5000
Sb 0.2517 0.7517 0.5000
Sb 0.5006 0.5006 0.0000

The calculation puts the uncorrected formation energy at -30.87 kJ per mole of atoms. Its volume is 97.3 Å³/f.u. The value obtained for the size of the total moment is 0.0 μB per formula unit.